Compound: LiPuMnIr
Source: the Alexandria database
Functional: PBE
Structure: relaxed

D(E_F)	54.53	states/eV/cell
mass density	11.51	g/cm³
ΔH_f (0 K)	5	kJ/mol of atoms
E	-8.5199	eV per atom

The structure in CIF format:
```
data_LiPuMnIr
_chemical_formula_sum 'Li4 Pu4 Mn4 Ir4'
_cell_length_a 6.600
_cell_length_b 6.600
_cell_length_c 6.600
_cell_angle_alpha 90.00
_cell_angle_beta 90.00
_cell_angle_gamma 90.00
_symmetry_space_group_name_H-M 'F -4 3 m'
_symmetry_Int_Tables_number 216
_symmetry_space_group_name_Hall 'F -4 2 3'
loop_
_atom_site_label
_atom_site_fract_x
_atom_site_fract_y
_atom_site_fract_z
Li1 0.000 0.000 0.000
Pu1 0.250 0.250 0.750
Mn1 0.250 0.250 0.250
Ir1 0.000 0.000 0.500
```